Entry 1:
# MgSiO3 PBEsol relaxed
data_MgSiO3
_cell_length_a 5.1203
_cell_length_b 8.8412
_cell_length_c 18.3801
_cell_angle_alpha 90.00
_cell_angle_beta 90.00
_cell_angle_gamma 90.00
_space_group_name_H-M_alt 'P c a 21'
_space_group_IT_number 29
_space_group_name_Hall 'P 2c -2ac'
loop_
_atom_site_label
_atom_site_type_symbol
_atom_site_fract_x
_atom_site_fract_y
_atom_site_fract_z
Mg1 Mg 0.1157 0.0965 0.0000
Mg2 Mg 0.1208 0.7342 0.0030
Mg3 Mg 0.1718 0.5952 0.7499
Mg4 Mg 0.1758 0.2346 0.7452
Si1 Si 0.0183 0.4074 0.8961
Si2 Si 0.0371 0.0919 0.3538
Si3 Si 0.1664 0.4115 0.0986
Si4 Si 0.2204 0.9118 0.6510
O1 O 0.0077 0.2491 0.3120
O2 O 0.0112 0.4074 0.8074
O3 O 0.0422 0.0904 0.4423
O4 O 0.0694 0.7457 0.4365
O5 O 0.0906 0.0584 0.1779
O6 O 0.1451 0.5587 0.5715
O7 O 0.1613 0.7669 0.1912
O8 O 0.1639 0.4111 0.1870
O9 O 0.1700 0.0372 0.8229
O10 O 0.1869 0.4581 0.4251
O11 O 0.2144 0.2659 0.5591
O12 O 0.2191 0.9101 0.5624
# * formation energy from raw total energies: -2.84 eV/atom



Entry 2:
# CaAu2Se PBEsol relaxed
data_CaAu2Se
_cell_length_a 3.9419
_cell_length_b 3.9419
_cell_length_c 5.1850
_cell_angle_alpha 90.00
_cell_angle_beta 90.00
_cell_angle_gamma 90.00
_space_group_name_H-M_alt 'P 4/m m m'
_space_group_IT_number 123
_space_group_name_Hall '-P 4 2'
loop_
_atom_site_label
_atom_site_type_symbol
_atom_site_fract_x
_atom_site_fract_y
_atom_site_fract_z
Ca1 Ca 0.0000 0.0000 0.0000
Au1 Au 0.0000 0.5000 0.5000
Se1 Se 0.5000 0.5000 0.0000
# * formation energy from raw total energies: -0.69 eV/atom



Entry 3:
# BaCr2Cd PBEsol relaxed
data_BaCr2Cd
_cell_length_a 9.8671
_cell_length_b 3.1060
_cell_length_c 6.1343
_cell_angle_alpha 90.00
_cell_angle_beta 102.31
_cell_angle_gamma 90.00
_space_group_name_H-M_alt 'C 1 2/m 1'
_space_group_IT_number 12
_space_group_name_Hall '-C 2y'
loop_
_atom_site_label
_atom_site_type_symbol
_atom_site_fract_x
_atom_site_fract_y
_atom_site_fract_z
Ba1 Ba 0.0000 0.0000 0.0000
Cr1 Cr 0.2331 0.0000 0.6068
Cd1 Cd 0.0000 0.5000 0.5000
# * energy of formation from the pure elements: 801 meV per atom



| no. | calculated total energy (eV/cell) |
| --- | --- |
| 1 | -598.4 |
| 2 | -16.6 |
| 3 | -41.3 |